1) Computed, not measured: crystalline Li3Co2SbO6 at its relaxed geometry at the PBE with a Hubbard U level of DFT.

Properties
Magnetization   6.0 μB per formula unit
ρ   4.89 g cm⁻³
SG   C2/m

Cell lengths 6.630, 6.630, 6.277 Å; angles 76.47, 76.47, 26.87 degrees
Last column: magnetic moment on the atom in μB.
Atoms (fractional coordinates):
Li 0.000 0.000 0.000  0.01
Li 0.326 0.326 0.305  0.01
Co 0.676 0.676 0.144  2.68
O 0.162 0.162 0.924  0.16
O 0.496 0.496 0.282  0.03
O 0.844 0.844 0.595  0.06
Sb 0.000 0.000 0.500  0.00
O 0.504 0.504 0.718  0.03
O 0.156 0.156 0.405  0.06
O 0.838 0.838 0.076  0.16
Li 0.674 0.674 0.695  0.01
Co 0.324 0.324 0.856  2.68

***

2) Computed, not measured: crystalline Li3Co2SbO6 at its relaxed geometry at the PBE with a Hubbard U level of DFT.

Properties
Magnetization   6.0 μB per formula unit
ρ   4.98 g cm⁻³
SG   C2/m

Cell lengths 5.280, 5.280, 5.231 Å; angles 99.90, 99.90, 119.81 degrees
Last column: magnetic moment on the atom in μB.
Atoms (fractional coordinates):
O 0.078 0.395 0.234  0.08
O 0.605 0.922 0.766  0.08
Sb 0.000 0.000 0.000  0.00
Co 0.334 0.666 0.000  2.70
O 0.395 0.078 0.234  0.08
Li 0.829 0.171 0.500  0.01
Co 0.666 0.334 0.000  2.70
Li 0.171 0.829 0.500  0.01
O 0.760 0.760 0.228  0.08
O 0.240 0.240 0.772  0.08
Li 0.500 0.500 0.500  0.01
O 0.922 0.605 0.766  0.08

***

Q: Which of them is the most stable? A: 2).

***

1) Computed, not measured: crystalline Li2Co3SbO8 at its relaxed geometry at the PBE with a Hubbard U level of DFT.

Properties
Magnetization   0.0 μB per formula unit
ρ   5.19 g cm⁻³
SG   P4_332

Cell lengths 8.260, 8.260, 8.260 Å; angles 90.00, 90.00, 90.00 degrees
Atoms (fractional coordinates):
O 0.357 0.140 0.631
Sb 0.875 0.375 0.125
O 0.140 0.631 0.357
Sb 0.125 0.875 0.375
O 0.869 0.643 0.640
O 0.890 0.393 0.881
Co 0.381 0.869 0.125
O 0.631 0.357 0.140
Co 0.131 0.625 0.119
O 0.889 0.111 0.611
O 0.381 0.610 0.607
O 0.643 0.640 0.869
Li 0.505 0.005 0.495
Sb 0.375 0.125 0.875
O 0.139 0.361 0.639
O 0.393 0.881 0.890
O 0.640 0.869 0.643
O 0.639 0.139 0.361
Co 0.869 0.125 0.381
O 0.107 0.119 0.390
O 0.110 0.893 0.619
Li 0.745 0.755 0.245
Li 0.495 0.505 0.005
O 0.389 0.389 0.389
O 0.360 0.369 0.857
Co 0.881 0.631 0.875
Co 0.125 0.381 0.869
Li 0.255 0.255 0.255
O 0.860 0.131 0.143
O 0.119 0.390 0.107
O 0.893 0.619 0.110
O 0.131 0.143 0.860
Li 0.755 0.245 0.745
Co 0.631 0.875 0.881
Co 0.119 0.131 0.625
O 0.857 0.360 0.369
O 0.861 0.861 0.861
O 0.369 0.857 0.360
Li 0.995 0.995 0.995
O 0.610 0.607 0.381
O 0.111 0.611 0.889
O 0.390 0.107 0.119
O 0.143 0.860 0.131
O 0.361 0.639 0.139
Co 0.875 0.881 0.631
Co 0.375 0.619 0.369
Co 0.625 0.119 0.131
Li 0.005 0.495 0.505
Co 0.369 0.375 0.619
O 0.607 0.381 0.610
Li 0.245 0.745 0.755
Sb 0.625 0.625 0.625
O 0.881 0.890 0.393
Co 0.619 0.369 0.375
O 0.619 0.110 0.893
O 0.611 0.889 0.111

***

2) Computed, not measured: crystalline Li2Co3SbO8 at its relaxed geometry at the PBE with a Hubbard U level of DFT.

Properties
Magnetization   0.0 μB per formula unit
ρ   5.18 g cm⁻³
SG   R-3m

Cell lengths 5.895, 5.895, 5.895 Å; angles 58.86, 58.86, 58.86 degrees
Atoms (fractional coordinates):
O 0.266 0.266 0.266
Li 0.873 0.873 0.873
O 0.285 0.743 0.743
Sb 0.500 0.500 0.500
Li 0.127 0.127 0.127
O 0.734 0.734 0.734
Co 0.000 0.500 0.500
Co 0.500 0.500 0.000
O 0.257 0.257 0.715
O 0.743 0.285 0.743
O 0.257 0.715 0.257
O 0.743 0.743 0.285
Co 0.500 0.000 0.500
O 0.715 0.257 0.257

***

Q: Which of them is the most stable? A: 1).

***

1) Computed, not measured: crystalline LiCo5SbO8 at its relaxed geometry at the PBE with a Hubbard U level of DFT.

Properties
Magnetization   15.0 μB per formula unit
ρ   5.61 g cm⁻³
SG   R-3m

Cell lengths 6.324, 6.324, 6.324 Å; angles 56.20, 56.20, 56.20 degrees
Last column: magnetic moment on the atom in μB.
Atoms (fractional coordinates):
Sb 0.000 0.000 0.000  0.00
Co 0.500 0.000 0.000  2.71
O 0.772 0.772 0.772  0.20
O 0.764 0.764 0.241  0.11
Co 0.000 0.000 0.500  2.71
Co 0.000 0.500 0.000  2.71
O 0.759 0.236 0.236  0.11
Co 0.347 0.347 0.347  2.70
O 0.236 0.759 0.236  0.11
O 0.228 0.228 0.228  0.20
O 0.764 0.241 0.764  0.11
Co 0.653 0.653 0.653  2.70
Li 0.500 0.500 0.500  0.00
O 0.236 0.236 0.759  0.11
O 0.241 0.764 0.764  0.11

***

2) Computed, not measured: crystalline LiCo5SbO8 at its relaxed geometry at the PBE with a Hubbard U level of DFT.

Properties
Magnetization   15.0 μB per formula unit
ρ   5.25 g cm⁻³
SG   R3m

Cell lengths 6.361, 6.361, 6.361 Å; angles 58.14, 58.14, 58.14 degrees
Last column: magnetic moment on the atom in μB.
Atoms (fractional coordinates):
Co 0.132 0.132 0.132  2.76
O 0.267 0.267 0.723  0.11
Co 0.034 0.484 0.484  2.68
O 0.728 0.728 0.279  0.10
O 0.728 0.279 0.728  0.10
O 0.267 0.723 0.267  0.11
Sb 0.494 0.494 0.494  0.00
O 0.741 0.741 0.741  0.18
Li 0.636 0.636 0.636  0.00
O 0.723 0.267 0.267  0.11
Co 0.865 0.865 0.865  2.73
O 0.259 0.259 0.259  0.24
Co 0.484 0.034 0.484  2.68
O 0.279 0.728 0.728  0.10
Co 0.484 0.484 0.034  2.68

***

Q: Which of them is the most stable? A: 1).